Entry 1:
Here is an optimized crystal structure of SrCa2Hf from Alexandria via LeMat-Bulk. Energies are from PBE-GGA.

abc: 4.9124 4.9124 12.9171
angles: 79.04 79.04 90.00
Last column: nearest neighbours and their distance in Å.
Element x y z (fractional)
Sr (0.5000, 0.5000, 0.0000)  4 Hf 3.47, 4 Ca 3.59
Sr (0.2500, 0.7500, 0.5000)  4 Hf 3.47, 4 Ca 3.59
Ca (0.1074, 0.6250, 0.2500)  4 Ca 3.35-3.60, 2 Hf 3.53, 2 Sr 3.59
Ca (0.8750, 0.8926, 0.7500)  4 Ca 3.35-3.60, 2 Hf 3.53, 2 Sr 3.59
Ca (0.3750, 0.3574, 0.7500)  4 Ca 3.35-3.60, 2 Hf 3.53, 2 Sr 3.59
Ca (0.6426, 0.1250, 0.2500)  4 Ca 3.35-3.60, 2 Hf 3.53, 2 Sr 3.59
Hf (0.7500, 0.2500, 0.5000)  4 Sr 3.47, 4 Ca 3.53
Hf (0.0000, 0.0000, 0.0000)  4 Sr 3.47, 4 Ca 3.53

## Properties
Fermi-level density of states in states/eV per cell: 11.51
Energy of formation from the pure elements in eV/atom: 0.816

***

Entry 2:
Here is an optimized crystal structure of SrCa3Hf from Alexandria via LeMat-Bulk. Energies are from PBE-GGA.

abc: 5.9971 5.9971 5.9971
angles: 90.00 90.00 90.00
Last column: nearest neighbours and their distance in Å.
Element x y z (fractional)
Hf (0.0000, 0.0000, 0.0000)  6 Ca 3.00
Ca (0.5000, 0.0000, 0.0000)  2 Hf 3.00
Ca (0.0000, 0.5000, 0.0000)  2 Hf 3.00
Ca (0.0000, 0.0000, 0.5000)  2 Hf 3.00
Sr (0.5000, 0.5000, 0.5000)  12 Ca 4.24

## Properties
Fermi-level density of states in states/eV per cell: 13.46
Energy of formation from the pure elements in eV/atom: 0.699